(1)
The following is a SCAN calculation of a crystal of Re2SbP relaxed with PBEsol, from Alexandria.

Cell lengths 4.394, 4.394, 4.394 Å; angles 60.00, 60.00, 60.00 degrees
Element x y z (fractional)
P 0.500 0.500 0.500
Re 0.250 0.250 0.250
Re 0.750 0.750 0.750
Sb 0.000 0.000 0.000

## Properties
- crystal system = cubic
- uncorrected formation energy (eV/atom) = 0.530

---

(2)
The following is a SCAN calculation of a crystal of Re2SbP relaxed with PBEsol, from Alexandria.

Cell lengths 2.943, 2.943, 8.454 Å; angles 90.00, 90.00, 117.64 degrees
Element x y z (fractional)
P 0.500 0.500 0.000
Re 0.000 0.000 0.206
Re 0.000 0.000 0.794
Sb 0.500 0.500 0.500

## Properties
- crystal system = orthorhombic
- uncorrected formation energy (eV/atom) = 0.784

---

(3)
The following is a SCAN calculation of a crystal of TiReSbP2 relaxed with PBEsol, from Alexandria.

Cell lengths 4.871, 4.874, 4.874 Å; angles 90.00, 90.00, 90.00 degrees
Site moments in Bohr magnetons follow the coordinates.
Element x y z (fractional)
Re 0.500 0.000 0.000  -1.29
Ti 0.500 0.500 0.500  1.65
P 0.000 0.000 0.500  -0.08
P 0.000 0.500 0.000  -0.08
Sb 0.000 0.000 0.000  0.05

## Properties
- crystal system = tetragonal
- uncorrected formation energy (eV/atom) = 1.906

---

(4)
The following is a SCAN calculation of a crystal of ZrReSb2P relaxed with PBEsol, from Alexandria.

Cell lengths 4.853, 5.356, 5.356 Å; angles 90.00, 90.00, 90.00 degrees
Site moments in Bohr magnetons follow the coordinates.
Element x y z (fractional)
Re 0.500 0.000 0.000  1.80
P 0.500 0.500 0.500  -0.32
Zr 0.000 0.000 0.000  -0.13
Sb 0.000 0.000 0.500  0.00
Sb 0.000 0.500 0.000  0.00

## Properties
- crystal system = tetragonal
- uncorrected formation energy (eV/atom) = 1.670

---

(5)
The following is a SCAN calculation of a crystal of ScReP relaxed with PBEsol, from Alexandria.

Cell lengths 3.291, 3.291, 5.321 Å; angles 90.00, 90.00, 120.00 degrees
Element x y z (fractional)
P 0.000 0.000 0.975
Re 0.667 0.333 0.724
Sc 0.333 0.667 0.301

## Properties
- E_form (eV per atom) = -0.409
- crystal system = trigonal

---

(6)
The following is a SCAN calculation of a crystal of ScReP relaxed with PBEsol, from Alexandria.

Cell lengths 3.083, 3.083, 5.348 Å; angles 106.75, 106.75, 90.00 degrees
Element x y z (fractional)
P 0.028 0.028 0.057
Re 0.635 0.635 0.270
Sc 0.336 0.336 0.673

## Properties
- E_form (eV per atom) = -0.587
- crystal system = tetragonal

---

Mass density? In order: 14.53; 13.45; 6.00; 6.58; 8.72; 9.38 g cm⁻³.